The following is a DFT calculation (GGA-PBE) of a relaxed structure of Pm6Tl6Sn.

Properties
* spin magnetization: 0.00 μB/cell
* energy: -0.2829 Ry per atom

Cell lengths 6.622, 6.622, 10.623 Å; angles 90.00, 90.00, 120.00 degrees
Fractional positions:
Pm 0.000 0.000 0.702
Pm 0.000 0.000 0.298
Pm 0.333 0.667 0.000
Pm 0.667 0.333 0.000
Pm 0.333 0.667 0.500
Pm 0.667 0.333 0.500
Tl 0.000 0.500 0.747
Tl 0.500 0.000 0.747
Tl 0.500 0.500 0.747
Tl 0.500 0.000 0.253
Tl 0.000 0.500 0.253
Tl 0.500 0.500 0.253
Sn 0.000 0.000 0.000